NbMo (GGA-PBE, optimized geometry); ΔH_f (0 K) = -83 meV per atom; volume = 33.8 Å³/f.u.; magnetization = 0.0 μB per formula unit; space-group type = Cmmm, No. 65
1.0
3.2418 0.0000 0.0000
0.0000 4.5979 0.0000
0.0000 0.0000 4.5333
Nb Mo
2 2
direct
0.0000 0.0000 0.0000 Nb
0.5000 0.5000 0.0000 Nb
0.0000 0.5000 0.5000 Mo
0.5000 0.0000 0.5000 Mo